Record 1
Li2PbSe: relaxed, PBE.

Computed properties:
Formation energy (no corrections), eV/atom: -0.629
D(E_F), states/eV/f.u.: 1.45

Cell: 3.5820 3.5922 6.3643 Å, 90.00 90.00 90.00°
With the nearest neighbours (Å) after each atom.
Space group Pmmm (No. 47)
One atom of each set of equivalent atoms:
Li (0.0000, 0.0000, 0.1914) x2  1 Li 2.44
Pb (0.5000, 0.5000, 0.5000) x1  2 Se 3.18, 8 Li 3.21
Se (0.5000, 0.5000, 0.0000) x1  8 Li 2.81



Record 2
KPCS2: relaxed, PBE.

Computed properties:
Energy above the lowest structure with this stoichiometry, eV/atom: 1.856
Formation energy (no corrections), eV/atom: 2.695
D(E_F), states/eV/f.u.: 7.03

Cell: 6.1526 6.1526 6.3765 Å, 90.00 90.00 90.00°
With the nearest neighbours (Å) after each atom.
Space group P4/mmm (No. 123)
One atom of each set of equivalent atoms:
K (0.0000, 0.0000, 0.0000) x1  4 S 3.08, 2 P 3.19
P (0.0000, 0.0000, 0.5000) x1  2 K 3.19
C (0.5000, 0.5000, 0.5000) x1  4 P 4.35, 8 S 4.43
S (0.0000, 0.5000, 0.0000) x2  2 K 3.08



Record 3
TcPt3C: relaxed, PBE.

Computed properties:
Energy above the lowest structure with this stoichiometry, eV/atom: 1.836
D(E_F), states/eV/f.u.: 6.04
Energy of formation from the pure elements, eV per atom: 2.566

Cell: 4.7895 4.7895 4.7895 Å, 90.00 90.00 90.00°
With the nearest neighbours (Å) after each atom.
Space group Pm-3m (No. 221)
One atom of each set of equivalent atoms:
Tc (0.0000, 0.0000, 0.0000) x1  6 Pt 2.39
Pt (0.0000, 0.0000, 0.5000) x3  2 Tc 2.39
C (0.5000, 0.5000, 0.5000) x1  12 Pt 3.39



Record 4
SeO4F2: relaxed, PBE.

Computed properties:
Formation energy (no corrections), eV/atom: -0.659

Cell: 5.0200 5.0314 6.0289 Å, 83.28 83.28 73.51°
With the nearest neighbours (Å) after each atom.
Space group P1 (No. 1)
One atom of each set of equivalent atoms:
Se (0.0000, 0.0000, 0.0000) x1  2 O 1.61, 2 F 1.76
O (0.0945, 0.8587, 0.2414) x1  1 Se 1.61
O (0.1402, 0.9057, 0.7583) x1  1 Se 1.61
O (0.5044, 0.3461, 0.4877) x1  1 O 1.23
O (0.6526, 0.4967, 0.5121) x1  1 O 1.23
F (0.6396, 0.0431, 0.0043) x1  1 Se 1.76
F (0.9598, 0.3589, 0.9963) x1  1 Se 1.76



Record 5
UGe2W: relaxed, PBE.

Computed properties:
D(E_F), states/eV/f.u.: 5.53
Energy of formation from the pure elements, eV per atom: 0.329

Cell: 2.9091 2.9091 30.6156 Å, 90.00 90.00 120.00°
With the nearest neighbours (Å) after each atom.
Space group R-3m (No. 166, hexagonal axes)
One atom of each set of equivalent atoms:
U (0.0000, 0.0000, 0.0000) x3  6 U 2.91, 2 Ge 2.94
Ge (0.0000, 0.0000, 0.0960) x6  3 W 2.74, 6 Ge 2.91, 1 U 2.94
W (0.0000, 0.0000, 0.5000) x3  6 Ge 2.74, 6 W 2.91



Record 6
YVAs2Br: relaxed, PBE.

Computed properties:
Energy above the lowest structure with this stoichiometry, eV/atom: 0.000
Formation energy (no corrections), eV/atom: -0.314
D(E_F), states/eV/f.u.: 3.15

Cell: 4.8113 4.8113 5.0397 Å, 90.00 90.00 90.00°
With the nearest neighbours (Å) after each atom.
Space group P4/mmm (No. 123)
One atom of each set of equivalent atoms:
Y (0.0000, 0.0000, 0.0000) x1  4 Br 3.40, 8 As 3.48
V (0.5000, 0.5000, 0.5000) x1  4 As 2.41, 2 Br 2.52
As (0.0000, 0.5000, 0.5000) x2  2 V 2.41
Br (0.5000, 0.5000, 0.0000) x1  2 V 2.52



Record 7
RbBe2PbF8: relaxed, PBE.

Computed properties:
Formation energy (no corrections), eV/atom: -2.772
D(E_F), states/eV/f.u.: 3.41

Cell: 5.0548 5.0548 25.4722 Å, 90.00 90.00 120.00°
With the nearest neighbours (Å) after each atom.
Space group R32 (No. 155, hexagonal axes)
One atom of each set of equivalent atoms:
Rb (0.0000, 0.0000, 0.0000) x3  12 F 3.01-3.34
Be (0.0000, 0.0000, 0.2464) x6  4 F 1.49-1.59
Pb (0.0000, 0.0000, 0.5000) x3  6 F 2.29
F (0.0000, 0.0000, 0.3049) x6  1 Be 1.49
F (0.0031, 0.2944, 0.2232) x18  1 Be 1.59



Record 8
YMnTl2: relaxed, PBE.

Computed properties:
D(E_F), states/eV/f.u.: 2.01
Energy of formation from the pure elements, eV per atom: 0.126

Cell: 3.5976 3.5976 7.6839 Å, 90.00 90.00 90.00°
With the nearest neighbours (Å) after each atom.
Space group P4mm (No. 99)
One atom of each set of equivalent atoms:
Y (0.0000, 0.0000, 0.0000) x1  4 Mn 3.11, 5 Tl 3.37-3.38
Mn (0.5000, 0.5000, 0.2331) x1  4 Tl 2.99, 4 Y 3.11
Tl (0.0000, 0.0000, 0.4381) x1  4 Mn 2.99, 4 Tl 3.30
Tl (0.5000, 0.5000, 0.7107) x1  8 Tl 3.30-3.60, 4 Y 3.38, 1 Mn 3.67



Record 9
TbHfNp2P4: relaxed, PBE.

Computed properties:
D(E_F), states/eV/f.u.: 19.34
Energy of formation from the pure elements, eV per atom: -1.150

Cell: 6.7441 3.8930 6.7716 Å, 90.00 109.35 90.00°
With the nearest neighbours (Å) after each atom.
Space group P2/m (No. 10)
One atom of each set of equivalent atoms:
Tb (0.0000, 0.0000, 0.0000) x1  6 P 2.78
Hf (0.0000, 0.5000, 0.5000) x1  6 P 2.69-2.70
Np (0.5000, 0.0000, 0.5000) x1  6 P 2.74
Np (0.5000, 0.5000, 0.0000) x1  6 P 2.82-2.83
P (0.2407, 0.0000, 0.7376) x2  2 Hf 2.70, 3 Np 2.74-2.82, 1 Tb 2.78
P (0.2478, 0.5000, 0.2608) x2  1 Hf 2.69, 3 Np 2.74-2.83, 2 Tb 2.78



Record 10
Cs4ICl3: relaxed, PBE.

Computed properties:
Energy above the lowest structure with this stoichiometry, eV/atom: 0.007
Formation energy (no corrections), eV/atom: -1.840
D(E_F), states/eV/f.u.: 0.00

Cell: 7.3151 7.3151 14.5217 Å, 90.00 90.00 90.00°
With the nearest neighbours (Å) after each atom.
Space group I4/mmm (No. 139)
One atom of each set of equivalent atoms:
Cs (0.0000, 0.0000, 0.2352) x4  5 Cl 3.42-3.66
Cs (0.0000, 0.5000, 0.0000) x4  4 Cl 3.63-3.66, 2 I 3.66
I (0.0000, 0.0000, 0.5000) x2  6 Cs 3.66-3.85
Cl (0.0000, 0.0000, 0.0000) x2  6 Cs 3.42-3.66
Cl (0.0000, 0.5000, 0.2500) x4  6 Cs 3.63-3.66



Record 11
Th2Sn4Pb: relaxed, PBE.

Computed properties:
D(E_F), states/eV/f.u.: 4.67
Energy of formation from the pure elements, eV per atom: -0.316

Cell: 8.2834 10.2306 5.0252 Å, 90.00 90.00 90.00°
With the nearest neighbours (Å) after each atom.
Space group Cmmm (No. 65)
One atom of each set of equivalent atoms:
Th (0.0000, 0.2069, 0.0000) x4  2 Pb 3.29, 8 Sn 3.29-3.37
Sn (0.1851, 0.5000, 0.0000) x4  1 Sn 3.07, 4 Th 3.36-3.37
Sn (0.2500, 0.2500, 0.5000) x4  4 Th 3.29, 2 Pb 3.29, 4 Sn 3.63
Pb (0.0000, 0.0000, 0.5000) x2  4 Th 3.29, 8 Sn 3.29-3.62



Record 12
TlHO: relaxed, PBE.

Computed properties:
Energy above the lowest structure with this stoichiometry, eV/atom: 0.027
D(E_F), states/eV/f.u.: 0.00

Cell: 3.4817 5.7168 5.7913 Å, 90.00 106.34 90.00°
With the nearest neighbours (Å) after each atom.
Space group P2_1 (No. 4)
One atom of each set of equivalent atoms:
Tl (0.1180, 0.0000, 0.2541) x2  4 O 2.65-2.71, 2 H 2.86
H (0.4311, 0.9277, 0.8531) x2  1 O 0.98
O (0.4782, 0.7862, 0.9520) x2  1 H 0.98